Record 1
Crystalline Tb2HoFe at its relaxed geometry. Source: Alexandria via LeMat-Bulk, functional PBE.

a b c (Å): 3.5478 3.5478 29.3136
angles (deg): 90.00 90.00 120.00
Space group R-3m (No. 166, hexagonal axes)
Asymmetric unit:
1 Tb 0.0000 0.0000 0.2299 [6 per cell]
2 Ho 0.0000 0.0000 0.0000 [3 per cell]
3 Fe 0.0000 0.0000 0.5000 [3 per cell]

Summary:
The energy of formation from the pure elements comes out at 0.22 eV/atom.

=====

Record 2
Crystalline Na2PC2 at its relaxed geometry. Source: Alexandria via LeMat-Bulk, functional PBE.

a b c (Å): 2.606 2.606 17.748
angles (deg): 90.00 90.00 90.00
Space group I4/mmm (No. 139)
Asymmetric unit:
1 Na 0.000 0.000 0.125 [4 per cell]
2 P 0.000 0.000 0.500 [2 per cell]
3 C 0.000 0.500 0.250 [4 per cell]

Summary:
The energy of formation from the pure elements comes out at 1.19 eV/atom.

=====

Record 3
Crystalline Ac4As3Cl at its relaxed geometry. Source: Alexandria via LeMat-Bulk, functional PBE.

a b c (Å): 9.010 12.720 4.513
angles (deg): 90.00 90.00 90.00
Space group Cmmm (No. 65)
Asymmetric unit:
1 Ac 0.000 0.245 0.000 [4 per cell]
2 Ac 0.237 0.000 0.500 [4 per cell]
3 As 0.000 0.000 0.000 [2 per cell]
4 As 0.250 0.250 0.500 [4 per cell]
5 Cl 0.000 0.500 0.000 [2 per cell]

Summary:
The calculation puts the formation energy from raw total energies at -1547 meV/atom.

=====

Record 4
Crystalline ScFeBr2 at its relaxed geometry. Source: Alexandria via LeMat-Bulk, functional PBE.

a b c (Å): 6.485 8.724 3.660
angles (deg): 90.00 121.30 90.00
Space group C2/m (No. 12)
Asymmetric unit:
1 Sc 0.000 0.000 0.000 [2 per cell]
2 Fe 0.000 0.500 0.000 [2 per cell]
3 Br 0.250 0.250 0.000 [4 per cell]

Summary:
The calculation puts the formation energy from raw total energies at -123 meV/atom.

=====

Record 5
Crystalline La5Cd2Rh at its relaxed geometry. Source: Alexandria via LeMat-Bulk, functional PBE.

a b c (Å): 8.258 12.174 5.061
angles (deg): 90.00 90.00 90.00
Space group Pbam (No. 55)
Asymmetric unit:
1 La 0.000 0.000 0.000 [2 per cell]
2 La 0.138 0.299 0.000 [4 per cell]
3 La 0.182 0.575 0.500 [4 per cell]
4 Cd 0.076 0.837 0.500 [4 per cell]
5 Rh 0.000 0.500 0.000 [2 per cell]

Summary:
The energy of formation from the pure elements comes out at -0.36 eV/atom.

=====

Record 6
Crystalline CeZnGa2 at its relaxed geometry. Source: Alexandria via LeMat-Bulk, functional PBE.

a b c (Å): 4.369 5.764 6.939
angles (deg): 90.00 90.00 90.00
Space group Amm2 (No. 38)
Asymmetric unit:
1 Ce 0.000 0.000 0.000 [2 per cell]
2 Zn 0.500 0.000 0.305 [2 per cell]
3 Ga 0.000 0.000 0.495 [2 per cell]
4 Ga 0.500 0.000 0.699 [2 per cell]

Summary:
The energy of formation from the pure elements comes out at -0.19 eV/atom.

=====

Record 7
Crystalline CdTcCl2 at its relaxed geometry. Source: Alexandria via LeMat-Bulk, functional PBE.

a b c (Å): 3.902 3.902 11.469
angles (deg): 90.00 90.00 90.00
Space group I-4m2 (No. 119)
Asymmetric unit:
1 Cd 0.000 0.000 0.000 [2 per cell]
2 Tc 0.000 0.500 0.250 [2 per cell]
3 Cl 0.000 0.000 0.500 [2 per cell]
4 Cl 0.000 0.500 0.750 [2 per cell]

Summary:
The calculation puts the formation energy from raw total energies at 432 meV/atom.

=====

Record 8
Crystalline Tl2CoPt at its relaxed geometry. Source: Alexandria via LeMat-Bulk, functional PBE.

a b c (Å): 3.338 3.349 6.545
angles (deg): 90.00 90.09 90.00
Space group P2/m (No. 10)
Asymmetric unit:
1 Tl 0.000 0.000 0.238 [2 per cell]
2 Co 0.500 0.500 0.000 [1 per cell]
3 Pt 0.500 0.500 0.500 [1 per cell]

Summary:
The energy of formation from the pure elements comes out at 0.37 eV/atom.

=====

Record 9
Crystalline Na5In6 at its relaxed geometry. Source: Alexandria via LeMat-Bulk, functional PBE.

a b c (Å): 8.081 13.783 6.066
angles (deg): 90.00 107.93 90.00
Space group C2/m (No. 12)
Asymmetric unit:
1 Na 0.000 0.000 0.000 [2 per cell]
2 Na 0.000 0.153 0.500 [4 per cell]
3 Na 0.000 0.264 0.000 [4 per cell]
4 In 0.158 0.500 0.224 [4 per cell]
5 In 0.173 0.385 0.689 [8 per cell]

Summary:
The energy of formation from the pure elements comes out at -0.06 eV/atom.

=====

Record 10
Crystalline BeGePtPb2 at its relaxed geometry. Source: Alexandria via LeMat-Bulk, functional PBE.

a b c (Å): 5.164 5.164 4.161
angles (deg): 90.00 90.00 90.00
Space group P4/mmm (No. 123)
Asymmetric unit:
1 Be 0.000 0.000 0.000 [1 per cell]
2 Ge 0.000 0.000 0.500 [1 per cell]
3 Pt 0.500 0.500 0.500 [1 per cell]
4 Pb 0.000 0.500 0.000 [2 per cell]

Summary:
The energy of formation from the pure elements comes out at 0.46 eV/atom.

=====

Record 11
Crystalline Eu2MgS4 at its relaxed geometry. Source: Alexandria via LeMat-Bulk, functional PBE.

a b c (Å): 11.400 11.400 11.400
angles (deg): 90.00 90.00 90.00
Space group Fd-3m (No. 227, origin choice 2)
Asymmetric unit:
1 Eu 0.000 0.000 0.000 [16 per cell]
2 Mg 0.125 0.125 0.625 [8 per cell]
3 S 0.002 0.002 0.248 [32 per cell]

Summary:
The calculation puts the formation energy from raw total energies at -1492 meV/atom.

=====

Record 12
Crystalline NpTlIn2F8 at its relaxed geometry. Source: Alexandria via LeMat-Bulk, functional PBE.

a b c (Å): 4.057 6.538 8.562
angles (deg): 90.06 90.02 90.31
Space group P-1 (No. 2)
Asymmetric unit:
1 Np 0.000 0.000 0.000 [1 per cell]
2 Tl 0.000 0.000 0.500 [1 per cell]
3 In 0.500 0.500 0.275 [2 per cell]
4 F 0.002 0.210 0.803 [2 per cell]
5 F 0.002 0.211 0.197 [2 per cell]
6 F 0.496 0.704 0.500 [2 per cell]
7 F 0.498 0.817 0.000 [2 per cell]

Summary:
The calculation puts the formation energy from raw total energies at -2515 meV/atom.

=====

| no. | E (eV per atom) | magnetization (μB per formula unit) |
| --- | --- | --- |
| 1 | -5.359 | 1.548 |
| 2 | -4.107 | 0.000 |
| 3 | -5.575 | 0.000 |
| 4 | -4.658 | 2.278 |
| 5 | -4.584 | 0.001 |
| 6 | -3.506 | 0.663 |
| 7 | -3.312 | 3.571 |
| 8 | -4.098 | 1.063 |
| 9 | -2.151 | 0.000 |
| 10 | -3.900 | 0.000 |
| 11 | -7.014 | 11.992 |
| 12 | -5.494 | 2.422 |